# Ce3Cu4Ag2

Ce3Cu4Ag2 after structural relaxation (GGA-PBE, the Alexandria database).

Values from the calculation:
Energy   -40.925 eV per formula unit
Calculated formation energy   -115 meV/atom

Cell and atoms, written as POSCAR:
```
Ce3Cu4Ag2
1.0
5.251 -2.269 0.000
5.251 2.269 0.000
-3.913 0.000 7.609
Ce Cu Ag
3 4 2
Direct
0.000 0.000 0.000 Ce
0.352 0.352 0.325 Ce
0.648 0.648 0.675 Ce
0.066 0.066 0.405 Cu
0.267 0.267 0.945 Cu
0.733 0.733 0.055 Cu
0.934 0.934 0.595 Cu
0.362 0.362 0.704 Ag
0.638 0.638 0.296 Ag
```



# PrCdGa

PrCdGa after structural relaxation (GGA-PBE, the Alexandria database).

Values from the calculation:
Energy   -9.998 eV per formula unit
Calculated formation energy   -426 meV/atom

Cell and atoms, written as POSCAR:
```
PrCdGa
1.0
0.000 3.427 3.427
3.427 0.000 3.427
3.427 3.427 0.000
Pr Cd Ga
1 1 1
Direct
0.000 0.000 0.000 Pr
0.500 0.500 0.500 Cd
0.750 0.750 0.750 Ga
```



# ScWC

ScWC after structural relaxation (GGA-PBE, the Alexandria database).

Values from the calculation:
Energy   -29.289 eV per formula unit
Calculated formation energy   -260 meV/atom

Cell and atoms, written as POSCAR:
```
ScWC
1.0
5.527 -1.558 0.000
5.527 1.558 0.000
-2.489 0.000 4.958
Sc W C
2 2 2
Direct
0.120 0.120 0.457 Sc
0.880 0.880 0.543 Sc
0.368 0.368 0.018 W
0.632 0.632 0.982 W
0.248 0.248 0.231 C
0.752 0.752 0.769 C
```



# YCo2Cl

YCo2Cl after structural relaxation (GGA-PBE, the Alexandria database).

Values from the calculation:
Energy   -24.187 eV per formula unit
Energy relative to the lowest polymorph listed for this composition   0 meV/atom

Cell and atoms, written as POSCAR:
```
YCo2Cl
1.0
3.814 0.000 0.000
-1.907 3.303 0.000
0.000 0.000 6.417
Y Co Cl
1 2 1
Direct
0.000 0.000 0.000 Y
0.333 0.667 0.257 Co
0.667 0.333 0.338 Co
0.667 0.333 0.715 Cl
```



# Ag2GeAu

Ag2GeAu after structural relaxation (GGA-PBE, the Alexandria database).

Values from the calculation:
Energy   -13.281 eV per formula unit
Calculated formation energy   79 meV/atom

Cell and atoms, written as POSCAR:
```
Ag2GeAu
1.0
4.081 0.000 0.000
0.000 4.081 0.000
0.000 0.000 4.329
Ag Ge Au
2 1 1
Direct
0.000 0.500 0.000 Ag
0.500 0.000 0.000 Ag
0.000 0.000 0.500 Ge
0.500 0.500 0.500 Au
```



# CdGeCl6

CdGeCl6 after structural relaxation (GGA-PBE, the Alexandria database).

Values from the calculation:
Energy   -22.995 eV per formula unit

Cell and atoms, written as POSCAR:
```
CdGeCl6
1.0
3.171 -6.122 0.000
3.171 6.122 0.000
-2.155 0.000 5.942
Cd Ge Cl
1 1 6
Direct
0.000 0.000 0.000 Cd
0.500 0.500 0.500 Ge
0.134 0.409 0.269 Cl
0.279 0.279 0.719 Cl
0.409 0.134 0.269 Cl
0.591 0.866 0.731 Cl
0.721 0.721 0.281 Cl
0.866 0.591 0.731 Cl
```



# Sm2ErTm2Mg5

Sm2ErTm2Mg5 after structural relaxation (GGA-PBE, the Alexandria database).

Values from the calculation:
Energy   -30.413 eV per formula unit
Calculated formation energy   50 meV/atom

Cell and atoms, written as POSCAR:
```
Sm2ErTm2Mg5
1.0
10.556 0.000 0.000
0.000 10.556 0.000
0.000 0.000 5.044
Sm Er Tm Mg
4 2 4 10
Direct
0.178 0.322 0.000 Sm
0.322 0.822 0.000 Sm
0.678 0.178 0.000 Sm
0.822 0.678 0.000 Sm
0.000 0.000 0.000 Er
0.500 0.500 0.000 Er
0.119 0.619 0.000 Tm
0.381 0.119 0.000 Tm
0.619 0.881 0.000 Tm
0.881 0.381 0.000 Tm
0.000 0.500 0.500 Mg
0.069 0.802 0.500 Mg
0.198 0.069 0.500 Mg
0.302 0.569 0.500 Mg
0.431 0.302 0.500 Mg
0.500 0.000 0.500 Mg
0.569 0.698 0.500 Mg
0.698 0.431 0.500 Mg
0.802 0.931 0.500 Mg
0.931 0.198 0.500 Mg
```



# Sm6HoTm3

Sm6HoTm3 after structural relaxation (GGA-PBE, the Alexandria database).

Values from the calculation:
Energy   -44.830 eV per formula unit
Energy relative to the lowest polymorph listed for this composition   0 meV/atom
Calculated formation energy   148 meV/atom

Cell and atoms, written as POSCAR:
```
Sm6HoTm3
1.0
5.500 -9.587 0.000
5.500 9.587 0.000
0.000 0.000 6.223
Sm Ho Tm
12 2 6
Direct
0.041 0.959 0.500 Sm
0.055 0.477 0.940 Sm
0.279 0.721 0.233 Sm
0.289 0.377 0.127 Sm
0.377 0.289 0.627 Sm
0.477 0.055 0.440 Sm
0.523 0.945 0.940 Sm
0.623 0.711 0.127 Sm
0.711 0.623 0.627 Sm
0.721 0.279 0.733 Sm
0.945 0.523 0.440 Sm
0.959 0.041 0.000 Sm
0.200 0.800 0.708 Ho
0.800 0.200 0.208 Ho
0.055 0.278 0.551 Tm
0.278 0.055 0.051 Tm
0.387 0.613 0.660 Tm
0.613 0.387 0.160 Tm
0.722 0.945 0.551 Tm
0.945 0.722 0.051 Tm
```